Entry 1:
First-principles (PBE-GGA) data for an optimized crystal structure of ScHg4, as listed in Alexandria via LeMat-Bulk.

Electronic total energy = -1.61 eV per atom
Density = 12.24 g cm⁻³
ΔH_f (0 K) = -101 meV per atom
ΔE to the lowest computed polymorph = 0.000 eV per atom

Cell: 6.9752 6.9752 4.7272 Å, 90.00 90.00 90.00°
Space group I4/m (No. 87)
Inequivalent atoms, fractional coordinates:
Sc (0.0000, 0.0000, 0.0000)
Hg (0.1020, 0.7042, 0.5000)



Entry 2:
First-principles (PBE-GGA) data for an optimized crystal structure of Sc3Hg5, as listed in Alexandria via LeMat-Bulk.

Electronic total energy = -2.90 eV per atom
Density = 10.73 g cm⁻³
ΔH_f (0 K) = -332 meV per atom
ΔE to the lowest computed polymorph = 0.000 eV per atom

Cell: 9.7312 7.4359 9.7310 Å, 90.00 90.00 90.00°
Space group Cmcm (No. 63)
Inequivalent atoms, fractional coordinates:
Sc (0.0000, 0.0416, 0.2500)
Sc (0.2215, 0.5000, 0.0000)
Hg (0.0000, 0.2155, 0.5203)
Hg (0.0000, 0.4541, 0.2500)
Hg (0.2246, 0.2525, 0.7500)